# Tb3Tl PBE relaxed
# Energy of formation   -0.17 eV per atom
# Fermi-level density of states   0.8991 states/eV per atom
# SG   No. 44
# Total energy   -16.944 eV for the cell shown
data_Tb3Tl
_cell_length_a 3.5260
_cell_length_b 6.0136
_cell_length_c 6.5838
_cell_angle_alpha 117.17
_cell_angle_beta 105.53
_cell_angle_gamma 90.00
_symmetry_space_group_name_H-M 'P 1'
_symmetry_Int_Tables_number 1
loop_
_symmetry_equiv_pos_as_xyz
'x,y,z'
loop_
_atom_site_label
_atom_site_type_symbol
_atom_site_fract_x
_atom_site_fract_y
_atom_site_fract_z
Tl1 Tl 0.0000 0.0116 0.0000
Tb1 Tb 0.2713 0.6131 0.5426
Tb2 Tb 0.5000 0.4714 0.0000
Tb3 Tb 0.7287 0.0705 0.4574